Density functional theory data (PBE) for a geometry-optimized CsTcTe2AuS structure.

Results
The total energy is -4.30 eV per atom. The crystal system is orthorhombic. The value obtained for the magnetization is 2.64 μB per formula unit.

Lattice parameters (Å, degrees): 9.0186 9.0186 10.1723 90.00 90.00 154.16
Element x y z (fractional)
S1 0.5430 0.4570 0.2500
Au1 0.9564 0.0436 0.2500
Cs1 0.2635 0.7365 0.2500
Tc1 0.5000 0.5000 0.5000
Cs2 0.7365 0.2635 0.7500
Te1 0.1105 0.8895 0.9881
Tc2 0.5000 0.5000 0.0000
S2 0.4570 0.5430 0.7500
Te2 0.1105 0.8895 0.5119
Au2 0.0436 0.9564 0.7500
Te3 0.8895 0.1105 0.0119
Te4 0.8895 0.1105 0.4881